# LaSiAgAs2

Crystalline LaSiAgAs2 at its relaxed geometry (PBE, Alexandria).

## Properties
**Energy relative to the elements, uncorrected**: -0.20 eV/atom

The structure in CIF format:
```
data_LaSiAgAs2
_cell_length_a 4.967
_cell_length_b 4.967
_cell_length_c 4.707
_cell_angle_alpha 90.00
_cell_angle_beta 90.00
_cell_angle_gamma 90.00
_symmetry_space_group_name_H-M 'P 4/m m m'
_symmetry_Int_Tables_number 123
_symmetry_space_group_name_Hall '-P 4 2'
loop_
_atom_site_label
_atom_site_fract_x
_atom_site_fract_y
_atom_site_fract_z
La1 0.000 0.000 0.000
Si1 0.500 0.500 0.500
Ag1 0.500 0.500 0.000
As1 0.000 0.500 0.500
```